Record 1
{
  "formula": "NaTlF5",
  "functional": "PBE",
  "state": "relaxed",
  "relative_energy_ev_per_atom": 0.051,
  "raw_formation_energy_ev_per_atom": -1.741,
  "spacegroup": "No. 71",
  "cell": [[4.429, 0.000, 0.000], [2.214, 5.378, 0.257], [2.214, 1.215, 5.246]],
  "species": ["Na", "Tl", "F", "F", "F", "F", "F"],
  "fractional_positions": [[0.000, 0.000, 0.000], [0.500, 0.500, 0.500], [0.500, 0.172, 0.828], [0.500, 0.828, 0.172], [0.738, 0.262, 0.262], [0.262, 0.738, 0.738], [0.000, 0.500, 0.500]]
}


Record 2
{
  "formula": "Ta2TiIn2S6",
  "functional": "PBE",
  "state": "relaxed",
  "raw_formation_energy_ev_per_atom": -0.911,
  "spacegroup": "No. 12",
  "cell": [[5.840, -0.019, -0.331], [-2.903, 5.067, -0.331], [-1.556, -2.674, 8.676]],
  "species": ["Ta", "Ta", "Ti", "In", "In", "S", "S", "S", "S", "S", "S"],
  "fractional_positions": [[0.337, 0.663, 0.500], [0.663, 0.337, 0.500], [0.000, 0.000, 0.500], [0.794, 0.206, 0.000], [0.206, 0.794, 0.000], [0.802, 0.802, 0.687], [0.125, 0.456, 0.682], [0.198, 0.198, 0.313], [0.456, 0.125, 0.682], [0.875, 0.544, 0.318], [0.544, 0.875, 0.318]]
}


Record 3
{
  "formula": "CeTm4Al5",
  "functional": "PBE",
  "state": "relaxed",
  "spacegroup": "No. 123",
  "delta_e_f_ev_per_atom": -0.369,
  "cell": [[-1.553, -2.779, -1.441], [-0.992, -1.089, 3.169], [-15.838, 9.699, -1.628]],
  "species": ["Ce", "Tm", "Tm", "Tm", "Tm", "Al", "Al", "Al", "Al", "Al"],
  "fractional_positions": [[0.000, 0.000, 0.000], [0.000, 0.000, 0.207], [0.000, 0.000, 0.402], [0.000, 0.000, 0.598], [0.000, 0.000, 0.793], [0.500, 0.500, 0.109], [0.500, 0.500, 0.305], [0.500, 0.500, 0.500], [0.500, 0.500, 0.695], [0.500, 0.500, 0.891]]
}


Record 4
{
  "formula": "InGaPb4",
  "functional": "PBE",
  "state": "relaxed",
  "relative_energy_ev_per_atom": 0.047,
  "spacegroup": "No. 12",
  "delta_e_f_ev_per_atom": 0.076,
  "cell": [[5.186, 0.000, 0.000], [2.593, 4.484, 0.237], [2.593, 0.969, 8.358]],
  "species": ["In", "Ga", "Pb", "Pb", "Pb", "Pb"],
  "fractional_positions": [[0.500, 0.500, 0.500], [0.000, 0.000, 0.000], [0.629, 0.630, 0.111], [0.371, 0.370, 0.889], [0.121, 0.122, 0.637], [0.879, 0.878, 0.363]]
}


Record 5
{
  "formula": "B4Mo",
  "functional": "PBE",
  "state": "relaxed",
  "relative_energy_ev_per_atom": 2.162,
  "spacegroup": "No. 221",
  "delta_e_f_ev_per_atom": 2.157,
  "cell": [[4.159, 0.000, 0.000], [0.000, 4.159, 0.000], [0.000, 0.000, 4.159]],
  "species": ["Mo", "B", "B", "B", "B"],
  "fractional_positions": [[0.500, 0.500, 0.500], [0.000, 0.000, 0.000], [0.500, 0.000, 0.500], [0.000, 0.500, 0.500], [0.500, 0.500, 0.000]]
}


Record 6
{
  "formula": "YIn2Ir",
  "functional": "PBE",
  "state": "relaxed",
  "spacegroup": "No. 10",
  "delta_e_f_ev_per_atom": -0.274,
  "cell": [[4.825, 0.000, 0.000], [0.000, 3.397, 0.002], [0.000, 0.928, 5.424]],
  "species": ["In", "In", "Ir", "Y"],
  "fractional_positions": [[0.000, 0.124, 0.017], [0.000, 0.376, 0.483], [0.500, 0.250, 0.250], [0.500, 0.750, 0.750]]
}


| no. | DFT total energy (eV/atom) | spin magnetization (Bohr magnetons per cell) |
| --- | --- | --- |
| 1 | -3.604 | 0.26 |
| 2 | -6.533 | 0.00 |
| 3 | -4.622 | 0.58 |
| 4 | -3.357 | 0.00 |
| 5 | -5.352 | 0.00 |
| 6 | -5.475 | 0.00 |